Density functional theory data (PBE with a Hubbard U) for crystalline MoPdF2 at its relaxed geometry.

Its crystal system is cubic. The calculation puts the density of states at the Fermi level at 0.311 states/eV per atom. The value obtained for the total energy is -17.93 eV/cell. The energy above the most stable polymorph in this dataset comes out at 233 meV/atom.

Cell lengths 4.3082, 4.3082, 4.3082 Å; angles 60.00, 60.00, 60.00 degrees
Sites, in units of the cell vectors:
F: 0.7500 0.7500 0.7500
F: 0.2500 0.2500 0.2500
Pd: 0.5000 0.5000 0.5000
Mo: 0.0000 0.0000 0.0000